# Al2CuSi | the Alexandria database | GGA-PBE | relaxed
data_Al2CuSi
_chemical_formula_sum 'Al2 Cu1 Si1'
_cell_length_a 3.9910
_cell_length_b 3.9910
_cell_length_c 3.6475
_cell_angle_alpha 90.00
_cell_angle_beta 90.00
_cell_angle_gamma 90.00
_space_group_name_H-M_alt 'P 4/m m m'
_space_group_IT_number 123
_space_group_name_Hall '-P 4 2'
loop_
_atom_site_label
_atom_site_fract_x
_atom_site_fract_y
_atom_site_fract_z
Al1 0.0000 0.5000 0.0000
Cu1 0.0000 0.0000 0.5000
Si1 0.5000 0.5000 0.5000
# ΔE_f (raw) = 68 meV per atom
# Total moment = 0.00 μB per formula unit
# Calculated volume = 58.1 Å³/cell
# Crystal system = tetragonal
# E = -4.183 eV/atom